Density functional theory data (PBE) for a relaxed RbLiIrBr2 crystal.

The structure in CIF format:
```
data_RbLiIrBr2
_chemical_formula_sum 'Rb1 Li1 Ir1 Br2'
_cell_length_a 6.336
_cell_length_b 5.393
_cell_length_c 6.336
_cell_angle_alpha 90.00
_cell_angle_beta 90.00
_cell_angle_gamma 90.00
_space_group_name_H-M_alt 'P 1'
_space_group_IT_number 1
_space_group_name_Hall 'P 1'
loop_
_atom_site_label
_atom_site_type_symbol
_atom_site_fract_x
_atom_site_fract_y
_atom_site_fract_z
_atom_site_occupancy
Br1 Br 0.500 0.000 0.000 1
Br2 Br 0.000 0.000 0.500 1
Rb1 Rb 0.000 0.000 0.000 1
Ir1 Ir 0.000 0.500 0.000 1
Li1 Li 0.500 0.500 0.500 1
```

Summary:
total moment: 2.1 μB/f.u.
VASP energy: -11.823 eV per cell
formation energy from raw total energies: 0.65 eV/atom

=====

Density functional theory data (PBE) for a relaxed LiIr2SBr crystal.

The structure in CIF format:
```
data_LiIr2SBr
_chemical_formula_sum 'Li1 Ir2 S1 Br1'
_cell_length_a 4.248
_cell_length_b 7.556
_cell_length_c 4.248
_cell_angle_alpha 90.00
_cell_angle_beta 90.00
_cell_angle_gamma 90.00
_space_group_name_H-M_alt 'P 1'
_space_group_IT_number 1
_space_group_name_Hall 'P 1'
loop_
_atom_site_label
_atom_site_type_symbol
_atom_site_fract_x
_atom_site_fract_y
_atom_site_fract_z
_atom_site_occupancy
Ir1 Ir 0.500 0.000 0.000 1
Ir2 Ir 0.000 0.000 0.500 1
S1 S 0.000 0.000 0.000 1
Li1 Li 0.500 0.500 0.500 1
Br1 Br 0.000 0.500 0.000 1
```

Summary:
total moment: 0.0 μB/f.u.
ΔE to the lowest computed polymorph: 0 meV per atom
VASP energy: -23.996 eV per cell
formation energy from raw total energies: 0.29 eV/atom

=====

Density functional theory data (PBE) for a relaxed LiIr2SBr crystal.

The structure in CIF format:
```
data_LiIr2SBr
_chemical_formula_sum 'Li1 Ir2 S1 Br1'
_cell_length_a 4.708
_cell_length_b 4.384
_cell_length_c 4.708
_cell_angle_alpha 90.00
_cell_angle_beta 90.00
_cell_angle_gamma 90.00
_space_group_name_H-M_alt 'P 1'
_space_group_IT_number 1
_space_group_name_Hall 'P 1'
loop_
_atom_site_label
_atom_site_type_symbol
_atom_site_fract_x
_atom_site_fract_y
_atom_site_fract_z
_atom_site_occupancy
Br1 Br 0.000 0.000 0.000 1
Li1 Li 0.000 0.500 0.000 1
S1 S 0.500 0.500 0.500 1
Ir1 Ir 0.000 0.000 0.500 1
Ir2 Ir 0.500 0.000 0.000 1
```

Summary:
total moment: 0.0 μB/f.u.
ΔE to the lowest computed polymorph: 946 meV per atom
VASP energy: -19.267 eV per cell
formation energy from raw total energies: 1.23 eV/atom

=====

Density functional theory data (PBE) for a relaxed LiIrSeBr2 crystal.

The structure in CIF format:
```
data_LiIrSeBr2
_chemical_formula_sum 'Li1 Ir1 Se1 Br2'
_cell_length_a 5.413
_cell_length_b 5.413
_cell_length_c 4.657
_cell_angle_alpha 90.00
_cell_angle_beta 90.00
_cell_angle_gamma 90.00
_space_group_name_H-M_alt 'P 1'
_space_group_IT_number 1
_space_group_name_Hall 'P 1'
loop_
_atom_site_label
_atom_site_type_symbol
_atom_site_fract_x
_atom_site_fract_y
_atom_site_fract_z
_atom_site_occupancy
Li1 Li 0.500 0.500 0.500 1
Ir1 Ir 0.000 0.000 0.000 1
Br1 Br 0.500 0.000 0.000 1
Br2 Br 0.000 0.500 0.000 1
Se1 Se 0.000 0.000 0.500 1
```

Summary:
total moment: 0.0 μB/f.u.
ΔE to the lowest computed polymorph: 0 meV per atom
VASP energy: -18.321 eV per cell
formation energy from raw total energies: -0.14 eV/atom

=====

Density functional theory data (PBE) for a relaxed LiIrSe2Br crystal.

The structure in CIF format:
```
data_LiIrSe2Br
_chemical_formula_sum 'Li1 Ir1 Se2 Br1'
_cell_length_a 4.866
_cell_length_b 4.866
_cell_length_c 5.491
_cell_angle_alpha 90.00
_cell_angle_beta 90.00
_cell_angle_gamma 90.00
_space_group_name_H-M_alt 'P 1'
_space_group_IT_number 1
_space_group_name_Hall 'P 1'
loop_
_atom_site_label
_atom_site_type_symbol
_atom_site_fract_x
_atom_site_fract_y
_atom_site_fract_z
_atom_site_occupancy
Ir1 Ir 0.000 0.000 0.000 1
Se1 Se 0.000 0.500 0.000 1
Se2 Se 0.500 0.000 0.000 1
Br1 Br 0.000 0.000 0.500 1
Li1 Li 0.500 0.500 0.500 1
```

Summary:
total moment: 0.0 μB/f.u.
ΔE to the lowest computed polymorph: 0 meV per atom
VASP energy: -19.355 eV per cell
formation energy from raw total energies: 0.01 eV/atom

=====

Density functional theory data (PBE) for a relaxed Li2VIrBr crystal.

The structure in CIF format:
```
data_Li2VIrBr
_chemical_formula_sum 'Li2 V1 Ir1 Br1'
_cell_length_a 4.558
_cell_length_b 4.995
_cell_length_c 4.558
_cell_angle_alpha 90.00
_cell_angle_beta 90.00
_cell_angle_gamma 90.00
_space_group_name_H-M_alt 'P 1'
_space_group_IT_number 1
_space_group_name_Hall 'P 1'
loop_
_atom_site_label
_atom_site_type_symbol
_atom_site_fract_x
_atom_site_fract_y
_atom_site_fract_z
_atom_site_occupancy
V1 V 0.500 0.500 0.500 1
Ir1 Ir 0.000 0.000 0.000 1
Br1 Br 0.000 0.500 0.000 1
Li1 Li 0.500 0.000 0.000 1
Li2 Li 0.000 0.000 0.500 1
```

Summary:
total moment: 0.1 μB/f.u.
VASP energy: -17.975 eV per cell
formation energy from raw total energies: 1.10 eV/atom

=====

Density functional theory data (PBE) for a relaxed LiY2IrBr crystal.

The structure in CIF format:
```
data_LiY2IrBr
_chemical_formula_sum 'Li1 Y2 Ir1 Br1'
_cell_length_a 5.311
_cell_length_b 5.636
_cell_length_c 5.311
_cell_angle_alpha 90.00
_cell_angle_beta 90.00
_cell_angle_gamma 90.00
_space_group_name_H-M_alt 'P 1'
_space_group_IT_number 1
_space_group_name_Hall 'P 1'
loop_
_atom_site_label
_atom_site_type_symbol
_atom_site_fract_x
_atom_site_fract_y
_atom_site_fract_z
_atom_site_occupancy
Li1 Li 0.500 0.500 0.500 1
Br1 Br 0.000 0.500 0.000 1
Ir1 Ir 0.000 0.000 0.000 1
Y1 Y 0.000 0.000 0.500 1
Y2 Y 0.500 0.000 0.000 1
```

Summary:
total moment: 0.0 μB/f.u.
VASP energy: -25.556 eV per cell
formation energy from raw total energies: -0.04 eV/atom

=====

Density functional theory data (PBE) for a relaxed MgIrBr crystal.

The structure in CIF format:
```
data_MgIrBr
_chemical_formula_sum 'Mg2 Ir2 Br2'
_cell_length_a 4.088
_cell_length_b 11.320
_cell_length_c 3.964
_cell_angle_alpha 102.50
_cell_angle_beta 116.01
_cell_angle_gamma 77.89
_space_group_name_H-M_alt 'P 1'
_space_group_IT_number 1
_space_group_name_Hall 'P 1'
loop_
_atom_site_label
_atom_site_type_symbol
_atom_site_fract_x
_atom_site_fract_y
_atom_site_fract_z
_atom_site_occupancy
Mg1 Mg 0.952 0.916 0.035 1
Mg2 Mg 0.094 0.549 0.870 1
Ir1 Ir 0.285 0.732 0.562 1
Ir2 Ir 0.650 0.733 0.215 1
Br1 Br 0.834 0.412 0.172 1
Br2 Br 0.585 0.053 0.457 1
```

Summary:
total moment: 0.0 μB/f.u.
ΔE to the lowest computed polymorph: 48 meV per atom
VASP energy: -27.318 eV per cell
formation energy from raw total energies: -0.51 eV/atom

=====

Density functional theory data (PBE) for a relaxed MgIrBr crystal.

The structure in CIF format:
```
data_MgIrBr
_chemical_formula_sum 'Mg1 Ir1 Br1'
_cell_length_a 6.150
_cell_length_b 6.150
_cell_length_c 6.150
_cell_angle_alpha 150.74
_cell_angle_beta 150.74
_cell_angle_gamma 41.86
_space_group_name_H-M_alt 'P 1'
_space_group_IT_number 1
_space_group_name_Hall 'P 1'
loop_
_atom_site_label
_atom_site_type_symbol
_atom_site_fract_x
_atom_site_fract_y
_atom_site_fract_z
_atom_site_occupancy
Br1 Br 0.000 0.000 0.000 1
Mg1 Mg 0.320 0.320 0.000 1
Ir1 Ir 0.680 0.680 0.000 1
```

Summary:
total moment: 0.0 μB/f.u.
ΔE to the lowest computed polymorph: 757 meV per atom
VASP energy: -11.532 eV per cell
formation energy from raw total energies: 0.20 eV/atom

=====

Density functional theory data (PBE) for a relaxed MgIrBr crystal.

The structure in CIF format:
```
data_MgIrBr
_chemical_formula_sum 'Mg2 Ir2 Br2'
_cell_length_a 4.519
_cell_length_b 4.519
_cell_length_c 9.338
_cell_angle_alpha 90.00
_cell_angle_beta 90.00
_cell_angle_gamma 120.00
_space_group_name_H-M_alt 'P 1'
_space_group_IT_number 1
_space_group_name_Hall 'P 1'
loop_
_atom_site_label
_atom_site_type_symbol
_atom_site_fract_x
_atom_site_fract_y
_atom_site_fract_z
_atom_site_occupancy
Br1 Br 0.000 0.000 0.750 1
Br2 Br 0.000 0.000 0.250 1
Mg1 Mg 0.333 0.667 0.250 1
Mg2 Mg 0.667 0.333 0.750 1
Ir1 Ir 0.000 0.000 0.500 1
Ir2 Ir 0.000 0.000 0.000 1
```

Summary:
total moment: 0.0 μB/f.u.
ΔE to the lowest computed polymorph: 1658 meV per atom
VASP energy: -17.660 eV per cell
formation energy from raw total energies: 1.10 eV/atom

=====

Density functional theory data (PBE) for a relaxed MgIrBr crystal.

The structure in CIF format:
```
data_MgIrBr
_chemical_formula_sum 'Mg1 Ir1 Br1'
_cell_length_a 3.090
_cell_length_b 3.090
_cell_length_c 7.244
_cell_angle_alpha 90.00
_cell_angle_beta 90.00
_cell_angle_gamma 120.00
_space_group_name_H-M_alt 'P 1'
_space_group_IT_number 1
_space_group_name_Hall 'P 1'
loop_
_atom_site_label
_atom_site_type_symbol
_atom_site_fract_x
_atom_site_fract_y
_atom_site_fract_z
_atom_site_occupancy
Br1 Br 0.000 0.000 0.937 1
Mg1 Mg 0.333 0.667 0.668 1
Ir1 Ir 0.667 0.333 0.395 1
```

Summary:
total moment: 0.4 μB/f.u.
ΔE to the lowest computed polymorph: 687 meV per atom
VASP energy: -11.742 eV per cell
formation energy from raw total energies: 0.13 eV/atom

=====

Density functional theory data (PBE) for a relaxed MgIrBr crystal.

The structure in CIF format:
```
data_MgIrBr
_chemical_formula_sum 'Mg2 Ir2 Br2'
_cell_length_a 4.354
_cell_length_b 4.354
_cell_length_c 6.692
_cell_angle_alpha 90.00
_cell_angle_beta 90.00
_cell_angle_gamma 90.00
_space_group_name_H-M_alt 'P 1'
_space_group_IT_number 1
_space_group_name_Hall 'P 1'
loop_
_atom_site_label
_atom_site_type_symbol
_atom_site_fract_x
_atom_site_fract_y
_atom_site_fract_z
_atom_site_occupancy
Br1 Br 0.500 0.500 0.500 1
Br2 Br 0.000 0.000 0.500 1
Ir1 Ir 0.000 0.500 0.271 1
Ir2 Ir 0.500 0.000 0.729 1
Mg1 Mg 0.000 0.500 0.882 1
Mg2 Mg 0.500 0.000 0.118 1
```

Summary:
total moment: 0.0 μB/f.u.
ΔE to the lowest computed polymorph: 1213 meV per atom
VASP energy: -20.329 eV per cell
formation energy from raw total energies: 0.65 eV/atom

=====

Density functional theory data (PBE) for a relaxed MgIr4Br crystal.

The structure in CIF format:
```
data_MgIr4Br
_chemical_formula_sum 'Mg1 Ir4 Br1'
_cell_length_a 5.296
_cell_length_b 5.296
_cell_length_c 5.296
_cell_angle_alpha 60.00
_cell_angle_beta 60.00
_cell_angle_gamma 60.00
_space_group_name_H-M_alt 'P 1'
_space_group_IT_number 1
_space_group_name_Hall 'P 1'
loop_
_atom_site_label
_atom_site_type_symbol
_atom_site_fract_x
_atom_site_fract_y
_atom_site_fract_z
_atom_site_occupancy
Ir1 Ir 0.376 0.376 0.873 1
Ir2 Ir 0.376 0.873 0.376 1
Ir3 Ir 0.376 0.376 0.376 1
Ir4 Ir 0.873 0.376 0.376 1
Br1 Br 0.000 0.000 0.000 1
Mg1 Mg 0.750 0.750 0.750 1
```

Summary:
total moment: 0.0 μB/f.u.
VASP energy: -34.824 eV per cell
formation energy from raw total energies: 0.65 eV/atom

=====

Density functional theory data (PBE) for a relaxed MgIrBr crystal.

The structure in CIF format:
```
data_MgIrBr
_chemical_formula_sum 'Mg2 Ir2 Br2'
_cell_length_a 4.015
_cell_length_b 11.035
_cell_length_c 4.279
_cell_angle_alpha 101.00
_cell_angle_beta 57.73
_cell_angle_gamma 90.38
_space_group_name_H-M_alt 'P 1'
_space_group_IT_number 1
_space_group_name_Hall 'P 1'
loop_
_atom_site_label
_atom_site_type_symbol
_atom_site_fract_x
_atom_site_fract_y
_atom_site_fract_z
_atom_site_occupancy
Ir1 Ir 0.776 0.729 0.919 1
Ir2 Ir 0.058 0.736 0.281 1
Br1 Br 0.199 0.410 0.050 1
Br2 Br 0.636 0.055 0.150 1
Mg1 Mg 0.360 0.918 0.722 1
Mg2 Mg 0.474 0.547 0.479 1
```

Summary:
total moment: 0.0 μB/f.u.
ΔE to the lowest computed polymorph: 0 meV per atom
VASP energy: -27.607 eV per cell
formation energy from raw total energies: -0.56 eV/atom